# AcGaCuNi2 PBE optimized geometry
data_AcGaCuNi2
_chemical_formula_sum 'Ac2 Ga2 Cu2 Ni4'
_symmetry_space_group_name_H-M 'P 1'
_symmetry_Int_Tables_number 1
_cell_length_a 5.7953
_cell_length_b 5.4419
_cell_length_c 6.4365
_cell_angle_alpha 115.01
_cell_angle_beta 90.00
_cell_angle_gamma 90.00
loop_
_symmetry_equiv_pos_as_xyz
'x,y,z'
loop_
_atom_site_label
_atom_site_type_symbol
_atom_site_fract_x
_atom_site_fract_y
_atom_site_fract_z
Ga1 Ga 0.5000 0.7500 0.0000
Ga2 Ga 0.5000 0.2500 0.0000
Ac1 Ac 0.7690 0.2500 0.5000
Ac2 Ac 0.2310 0.7500 0.5000
Ni1 Ni 0.2971 0.3543 0.7086
Ni2 Ni 0.7029 0.8543 0.7086
Ni3 Ni 0.2971 0.1457 0.2914
Ni4 Ni 0.7029 0.6457 0.2914
Cu1 Cu 0.0000 0.5000 0.0000
Cu2 Cu 0.0000 0.0000 0.0000
# total magnetic moment	0.00	μB per formula unit
# density of states at the Fermi level	4.530	states/eV per cell
# calculated formation energy	-0.8	eV per formula unit